Entry 1:
VASP calculation (PBE) on Pm4Sc3Tl4 after structural relaxation.

Properties
- Space group: Immm
- Crystal system: orthorhombic

abc: 3.4353 9.3899 10.8011
angles: 115.76 99.15 90.00
Closest atoms and distances in Å follow each position.
Fractional coordinates of all 11 atoms:
Pm: 0.3410 0.1673 0.6821  4 Tl 3.20-3.33, 3 Pm 3.26-3.44
Pm: 0.6590 0.4852 0.3179  4 Tl 3.20-3.33, 3 Pm 3.26-3.44
Pm: 0.6590 0.8327 0.3179  4 Tl 3.20-3.33, 3 Pm 3.26-3.44
Pm: 0.3410 0.5148 0.6821  4 Tl 3.20-3.33, 3 Pm 3.26-3.44
Sc: 0.0896 0.0896 0.1791  6 Tl 3.02-3.19
Sc: 0.9104 0.9104 0.8209  6 Tl 3.02-3.19
Sc: 0.0000 0.5000 0.0000  4 Tl 3.14, 2 Sc 3.44
Tl: 0.2810 0.7810 0.5619  2 Sc 3.02, 6 Pm 3.27-3.33
Tl: 0.7190 0.2190 0.4381  2 Sc 3.02, 6 Pm 3.27-3.33
Tl: 0.5000 0.7801 0.0000  6 Sc 3.14-3.19, 2 Pm 3.20, 2 Tl 3.44
Tl: 0.5000 0.2199 0.0000  6 Sc 3.14-3.19, 2 Pm 3.20, 2 Tl 3.44

***

Entry 2:
VASP calculation (PBE) on Pm9ScTl2 after structural relaxation.

Properties
- Space group: P4/mmm
- Crystal system: tetragonal

abc: 4.9605 4.9605 15.1353
angles: 90.00 90.00 90.00
Closest atoms and distances in Å follow each position.
Fractional coordinates of all 12 atoms:
Pm: 0.5000 0.5000 0.0000  4 Sc 3.51, 8 Pm 3.55
Pm: 0.5000 0.5000 0.3334  4 Tl 3.51, 8 Pm 3.53-3.54
Pm: 0.5000 0.5000 0.6666  4 Tl 3.51, 8 Pm 3.53-3.54
Pm: 0.5000 0.0000 0.1677  8 Pm 3.51-3.55, 2 Sc 3.55, 2 Tl 3.58
Pm: 0.5000 0.0000 0.5000  4 Tl 3.49, 8 Pm 3.51-3.54
Pm: 0.5000 0.0000 0.8323  8 Pm 3.51-3.55, 2 Sc 3.55, 2 Tl 3.58
Pm: 0.0000 0.5000 0.1677  8 Pm 3.51-3.55, 2 Sc 3.55, 2 Tl 3.58
Pm: 0.0000 0.5000 0.5000  4 Tl 3.49, 8 Pm 3.51-3.54
Pm: 0.0000 0.5000 0.8323  8 Pm 3.51-3.55, 2 Sc 3.55, 2 Tl 3.58
Sc: 0.0000 0.0000 0.0000  12 Pm 3.51-3.55
Tl: 0.0000 0.0000 0.3378  12 Pm 3.49-3.58
Tl: 0.0000 0.0000 0.6622  12 Pm 3.49-3.58

***

Entry 3:
VASP calculation (PBE) on Pm2Sc6Tl after structural relaxation.

Properties
- Space group: Immm
- Crystal system: orthorhombic

abc: 3.3161 9.6424 9.0689
angles: 122.11 100.51 90.00
Closest atoms and distances in Å follow each position.
Fractional coordinates of all 9 atoms:
Pm: 0.1476 0.6475 0.2950  10 Sc 3.28-3.47, 2 Pm 3.32
Pm: 0.8524 0.3525 0.7050  10 Sc 3.28-3.47, 2 Pm 3.32
Sc: 0.1787 0.3416 0.3572  1 Tl 3.11, 7 Sc 3.14-3.36, 3 Pm 3.28-3.47
Sc: 0.8213 0.9844 0.6428  1 Tl 3.11, 7 Sc 3.14-3.36, 3 Pm 3.28-3.47
Sc: 0.8213 0.6584 0.6428  1 Tl 3.11, 7 Sc 3.14-3.36, 3 Pm 3.28-3.47
Sc: 0.5000 0.2847 0.0000  2 Tl 3.21, 6 Sc 3.32-3.36, 4 Pm 3.46
Sc: 0.1787 0.0156 0.3572  1 Tl 3.11, 7 Sc 3.14-3.36, 3 Pm 3.28-3.47
Sc: 0.5000 0.7153 0.0000  2 Tl 3.21, 6 Sc 3.32-3.36, 4 Pm 3.46
Tl: 0.0000 0.0000 0.0000  8 Sc 3.11-3.21, 2 Tl 3.32

***

| no. | N(E_F) (states/eV/f.u.) | formation energy (eV per atom) |
| --- | --- | --- |
| 1 | 10.24 | -0.2003 |
| 2 | 16.40 | -0.1191 |
| 3 | 11.33 | 0.0267 |